The following is a DFT calculation (PBE) of an optimized crystal structure of NdSm5Au4.

a = 3.6683 Å, b = 3.6683 Å, c = 19.9467 Å
α = 90.00°, β = 90.00°, γ = 90.00°
Closest atoms and distances in Å follow each position.
Fractional positions:
Nd 0.0000 0.0000 0.0000  4 Nd 3.67, 8 Sm 3.69
Sm 0.5000 0.5000 0.1315  4 Au 3.15
Sm 0.5000 0.5000 0.3145  8 Au 3.18-3.20
Sm 0.5000 0.5000 0.5000  8 Au 3.19
Sm 0.5000 0.5000 0.6855  8 Au 3.18-3.20
Sm 0.5000 0.5000 0.8685  4 Au 3.15
Au 0.0000 0.0000 0.2208  8 Sm 3.15-3.20
Au 0.0000 0.0000 0.4071  8 Sm 3.18-3.19
Au 0.0000 0.0000 0.5929  8 Sm 3.18-3.19
Au 0.0000 0.0000 0.7792  8 Sm 3.15-3.20

Properties
Its total DFT energy (no corrections) is -4.78 eV per atom.

The following is a DFT calculation (PBE) of an optimized crystal structure of NdSm2Au.

a = 4.8364 Å, b = 4.8373 Å, c = 4.8373 Å
α = 90.00°, β = 90.00°, γ = 90.00°
Closest atoms and distances in Å follow each position.
Fractional positions:
Nd 0.5000 0.0000 0.0000  8 Sm 3.42, 4 Au 3.42
Au 0.5000 0.5000 0.5000  8 Sm 3.42, 4 Nd 3.42
Sm 0.0000 0.0000 0.5000  4 Au 3.42, 4 Nd 3.42, 4 Sm 3.42
Sm 0.0000 0.5000 0.0000  4 Au 3.42, 4 Nd 3.42, 4 Sm 3.42

Properties
Its total DFT energy (no corrections) is -4.59 eV per atom.

The following is a DFT calculation (PBE) of an optimized crystal structure of Nd2SmAu4.

a = 5.3442 Å, b = 5.3442 Å, c = 7.5611 Å
α = 110.70°, β = 110.70°, γ = 90.00°
Closest atoms and distances in Å follow each position.
Fractional positions:
Nd 0.7206 0.7206 0.4411  4 Au 2.99
Nd 0.2794 0.2794 0.5589  4 Au 2.99
Sm 0.0000 0.0000 0.0000  8 Au 3.08
Au 0.3826 0.8826 0.7651  2 Nd 2.99, 1 Au 3.08, 2 Sm 3.08
Au 0.8826 0.3826 0.7651  2 Nd 2.99, 1 Au 3.08, 2 Sm 3.08
Au 0.6174 0.1174 0.2349  2 Nd 2.99, 1 Au 3.08, 2 Sm 3.08
Au 0.1174 0.6174 0.2349  2 Nd 2.99, 1 Au 3.08, 2 Sm 3.08

Properties
Its total DFT energy (no corrections) is -4.56 eV per atom.

The following is a DFT calculation (PBE) of an optimized crystal structure of NdSm2Au2.

a = 3.8802 Å, b = 8.3762 Å, c = 8.3762 Å
α = 90.00°, β = 90.00°, γ = 90.00°
Closest atoms and distances in Å follow each position.
Fractional positions:
Nd 0.0000 0.0000 0.0000  4 Au 3.29, 8 Sm 3.68
Nd 0.0000 0.5000 0.5000  4 Au 3.29, 8 Sm 3.68
Sm 0.5000 0.1639 0.6639  6 Au 3.13-3.14
Sm 0.5000 0.6639 0.8361  6 Au 3.13-3.14
Sm 0.5000 0.8361 0.3361  6 Au 3.13-3.14
Sm 0.5000 0.3361 0.1639  6 Au 3.13-3.14
Au 0.0000 0.3710 0.8710  1 Au 3.06, 6 Sm 3.13-3.14, 2 Nd 3.29
Au 0.0000 0.8710 0.6290  1 Au 3.06, 6 Sm 3.13-3.14, 2 Nd 3.29
Au 0.0000 0.6290 0.1290  1 Au 3.06, 6 Sm 3.13-3.14, 2 Nd 3.29
Au 0.0000 0.1290 0.3710  1 Au 3.06, 6 Sm 3.13-3.14, 2 Nd 3.29

Properties
Its total DFT energy (no corrections) is -4.80 eV per atom.

The following is a DFT calculation (PBE) of an optimized crystal structure of Nd5Sm2Au4.

a = 3.8952 Å, b = 7.1255 Å, c = 13.8736 Å
α = 116.60°, β = 98.07°, γ = 90.00°
Closest atoms and distances in Å follow each position.
Fractional positions:
Nd 0.1044 0.8217 0.2089  4 Au 3.08-3.16
Nd 0.8956 0.1783 0.7911  4 Au 3.08-3.16
Nd 0.1329 0.3563 0.2659  3 Au 3.03-3.05
Nd 0.5000 0.0000 0.0000  4 Au 3.02
Nd 0.8671 0.6437 0.7341  3 Au 3.03-3.05
Sm 0.2736 0.7910 0.5471  3 Au 3.07-3.11
Sm 0.7264 0.2090 0.4529  3 Au 3.07-3.11
Au 0.6804 0.7219 0.3608  4 Nd 3.03-3.16, 3 Sm 3.07-3.11
Au 0.9785 0.6474 0.9571  1 Au 2.84, 5 Nd 3.02-3.10
Au 0.3196 0.2781 0.6392  4 Nd 3.03-3.16, 3 Sm 3.07-3.11
Au 0.0215 0.3526 0.0429  1 Au 2.84, 5 Nd 3.02-3.10

Properties
Its total DFT energy (no corrections) is -4.64 eV per atom.

The following is a DFT calculation (PBE) of an optimized crystal structure of Nd2SmAu.

a = 5.0134 Å, b = 6.5846 Å, c = 8.0720 Å
α = 90.00°, β = 90.00°, γ = 112.37°
Closest atoms and distances in Å follow each position.
Fractional positions:
Nd 0.3591 0.7184 0.5328  3 Au 2.97-3.15
Nd 0.6409 0.2816 0.4672  3 Au 2.97-3.15
Nd 0.3591 0.7184 0.9672  3 Au 2.97-3.15
Nd 0.6409 0.2816 0.0328  3 Au 2.97-3.15
Sm 0.9528 0.9061 0.2500  1 Au 3.05
Sm 0.0472 0.0939 0.7500  1 Au 3.05
Au 0.7965 0.5936 0.7500  6 Nd 2.97-3.15, 1 Sm 3.05
Au 0.2035 0.4064 0.2500  6 Nd 2.97-3.15, 1 Sm 3.05

Properties
Its total DFT energy (no corrections) is -4.74 eV per atom.

Which total magnetic moment belongs to each record? In order, 0.000; 0.000; 0.000; 0.000; 0.000; 0.000 μB per atom.